# NaBi2WO6, relaxed, DFT PBE+U
# Electronic total energy in eV/atom: -6.20
# Fermi-level density of states in states/eV per atom: 0.000
data_NaBi2WO6
_space_group_name_H-M_alt 'P 1'
_space_group_IT_number 1
_cell_length_a 5.8204
_cell_length_b 5.8554
_cell_length_c 5.9871
_cell_angle_alpha 91.31
_cell_angle_beta 117.97
_cell_angle_gamma 119.21
loop_
_space_group_symop_operation_xyz
'x,y,z'
loop_
_atom_site_label
_atom_site_fract_x
_atom_site_fract_y
_atom_site_fract_z
Na1 0.0000 0.0000 0.0000
Bi1 0.5506 0.7731 0.3415
Bi2 0.5608 0.2863 0.8344
W1 0.9681 0.4804 0.4580
O1 0.0378 0.7973 0.6502
O2 0.0417 0.6592 0.1769
O3 0.4247 0.5975 0.6488
O4 0.5097 0.3735 0.1861
O5 0.8044 0.1417 0.1866
O6 0.8400 0.2219 0.6609